No. 1
FeHgOs2 | PBE-GGA | relaxed

- SG = Cmmm, No. 65

```
FeHgOs2
1.0
2.743 0.032 0.000
-1.326 2.402 0.000
0.000 0.000 9.499
Fe Hg Os
1 1 2
Direct
0.500 0.500 0.250
0.500 0.500 0.750
0.000 0.000 0.030
0.000 0.000 0.470
```

***

No. 2
Fe2HgOs | PBE-GGA | relaxed

- SG = P4/mmm, No. 123

```
Fe2HgOs
1.0
-2.452 -0.030 -1.242
1.050 -1.517 -2.038
-1.855 -6.411 3.817
Fe Hg Os
2 1 1
Direct
0.000 0.000 0.973
0.000 0.000 0.527
0.500 0.500 0.250
0.500 0.500 0.750
```

***

no.,formation energy from the elements (eV/atom),VASP energy (eV/cell)
1,0.67,-28.539
2,0.36,-27.001